Entry 1:
# Cd2AsI (PBE, optimized geometry)
data_Cd2AsI
_cell_length_a 8.031
_cell_length_b 8.031
_cell_length_c 8.031
_cell_angle_alpha 131.89
_cell_angle_beta 131.89
_cell_angle_gamma 70.40
_symmetry_space_group_name_H-M 'P 1'
_symmetry_Int_Tables_number 1
loop_
_symmetry_equiv_pos_as_xyz
'x,y,z'
loop_
_atom_site_label
_atom_site_type_symbol
_atom_site_fract_x
_atom_site_fract_y
_atom_site_fract_z
Cd1 Cd 0.053 0.625 0.928
Cd2 Cd 0.375 0.303 0.428
Cd3 Cd 0.697 0.125 0.072
Cd4 Cd 0.875 0.947 0.572
As1 As 0.000 0.000 0.000
As2 As 0.750 0.250 0.500
I1 I 0.250 0.750 0.500
I2 I 0.500 0.500 0.000
# SG: No. 122
# Polymorph energy (0 for the lowest one), eV per formula unit: 0.00
# Raw formation energy, eV per atom: -0.304

***

Entry 2:
# Cd2AsI (PBE, optimized geometry)
data_Cd2AsI
_cell_length_a 4.660
_cell_length_b 4.660
_cell_length_c 6.129
_cell_angle_alpha 90.00
_cell_angle_beta 90.00
_cell_angle_gamma 90.00
_symmetry_space_group_name_H-M 'P 1'
_symmetry_Int_Tables_number 1
loop_
_symmetry_equiv_pos_as_xyz
'x,y,z'
loop_
_atom_site_label
_atom_site_type_symbol
_atom_site_fract_x
_atom_site_fract_y
_atom_site_fract_z
Cd1 Cd 0.000 0.500 0.000
Cd2 Cd 0.500 0.000 0.000
As1 As 0.000 0.000 0.783
I1 I 0.500 0.500 0.353
# SG: No. 99
# Polymorph energy (0 for the lowest one), eV per formula unit: 0.43
# Raw formation energy, eV per atom: -0.197

***

Entry 3:
# CdAsI6 (PBE, optimized geometry)
data_CdAsI6
_cell_length_a 7.409
_cell_length_b 7.417
_cell_length_c 7.638
_cell_angle_alpha 61.34
_cell_angle_beta 61.98
_cell_angle_gamma 60.16
_symmetry_space_group_name_H-M 'P 1'
_symmetry_Int_Tables_number 1
loop_
_symmetry_equiv_pos_as_xyz
'x,y,z'
loop_
_atom_site_label
_atom_site_type_symbol
_atom_site_fract_x
_atom_site_fract_y
_atom_site_fract_z
Cd1 Cd 0.000 0.000 0.000
As1 As 0.500 0.500 0.500
I1 I 0.086 0.430 0.745
I2 I 0.260 0.918 0.253
I3 I 0.430 0.739 0.749
I4 I 0.570 0.261 0.251
I5 I 0.740 0.082 0.747
I6 I 0.914 0.570 0.255
# SG: No. 2
# Raw formation energy, eV per atom: -0.144

***

Entry 4:
# Cd2As2I (PBE, optimized geometry)
data_Cd2As2I
_cell_length_a 9.075
_cell_length_b 9.075
_cell_length_c 3.003
_cell_angle_alpha 90.00
_cell_angle_beta 90.00
_cell_angle_gamma 90.00
_symmetry_space_group_name_H-M 'P 1'
_symmetry_Int_Tables_number 1
loop_
_symmetry_equiv_pos_as_xyz
'x,y,z'
loop_
_atom_site_label
_atom_site_type_symbol
_atom_site_fract_x
_atom_site_fract_y
_atom_site_fract_z
Cd1 Cd 0.160 0.340 0.000
Cd2 Cd 0.340 0.840 0.000
Cd3 Cd 0.660 0.160 0.000
Cd4 Cd 0.840 0.660 0.000
As1 As 0.130 0.630 0.500
As2 As 0.370 0.130 0.500
As3 As 0.630 0.870 0.500
As4 As 0.870 0.370 0.500
I1 I 0.000 0.000 0.000
I2 I 0.500 0.500 0.000
# SG: No. 127
# Polymorph energy (0 for the lowest one), eV per formula unit: 1.01
# Raw formation energy, eV per atom: 0.210

***

Entry 5:
# CdAsI (PBE, optimized geometry)
data_CdAsI
_cell_length_a 3.945
_cell_length_b 7.528
_cell_length_c 8.363
_cell_angle_alpha 114.86
_cell_angle_beta 90.01
_cell_angle_gamma 105.11
_symmetry_space_group_name_H-M 'P 1'
_symmetry_Int_Tables_number 1
loop_
_symmetry_equiv_pos_as_xyz
'x,y,z'
loop_
_atom_site_label
_atom_site_type_symbol
_atom_site_fract_x
_atom_site_fract_y
_atom_site_fract_z
Cd1 Cd 0.000 0.000 0.000
Cd2 Cd 0.358 0.716 0.270
As1 As 0.364 0.730 0.586
As2 As 0.991 0.986 0.684
I1 I 0.576 0.154 0.290
I2 I 0.781 0.562 0.980
# SG: No. 1
# Polymorph energy (0 for the lowest one), eV per formula unit: 0.00
# Raw formation energy, eV per atom: -0.228

***

Entry 6:
# CdAsI3 (PBE, optimized geometry)
data_CdAsI3
_cell_length_a 5.882
_cell_length_b 5.882
_cell_length_c 5.882
_cell_angle_alpha 90.00
_cell_angle_beta 90.00
_cell_angle_gamma 90.00
_symmetry_space_group_name_H-M 'P 1'
_symmetry_Int_Tables_number 1
loop_
_symmetry_equiv_pos_as_xyz
'x,y,z'
loop_
_atom_site_label
_atom_site_type_symbol
_atom_site_fract_x
_atom_site_fract_y
_atom_site_fract_z
Cd1 Cd 0.000 0.000 0.000
As1 As 0.500 0.500 0.500
I1 I 0.000 0.000 0.500
I2 I 0.000 0.500 0.000
I3 I 0.500 0.000 0.000
# SG: No. 221
# Polymorph energy (0 for the lowest one), eV per formula unit: 1.47
# Raw formation energy, eV per atom: 0.358

***

Entry 7:
# CdAsI (PBE, optimized geometry)
data_CdAsI
_cell_length_a 4.149
_cell_length_b 6.917
_cell_length_c 7.482
_cell_angle_alpha 76.08
_cell_angle_beta 74.22
_cell_angle_gamma 89.93
_symmetry_space_group_name_H-M 'P 1'
_symmetry_Int_Tables_number 1
loop_
_symmetry_equiv_pos_as_xyz
'x,y,z'
loop_
_atom_site_label
_atom_site_type_symbol
_atom_site_fract_x
_atom_site_fract_y
_atom_site_fract_z
Cd1 Cd 0.158 0.159 0.182
Cd2 Cd 0.842 0.841 0.818
As1 As 0.465 0.830 0.569
As2 As 0.535 0.170 0.431
I1 I 0.184 0.722 0.136
I2 I 0.816 0.278 0.864
# SG: No. 2
# Polymorph energy (0 for the lowest one), eV per formula unit: 0.23
# Raw formation energy, eV per atom: -0.150

***

Entry 8:
# CdAsI3 (PBE, optimized geometry)
data_CdAsI3
_cell_length_a 5.749
_cell_length_b 5.749
_cell_length_c 5.749
_cell_angle_alpha 90.00
_cell_angle_beta 90.00
_cell_angle_gamma 90.00
_symmetry_space_group_name_H-M 'P 1'
_symmetry_Int_Tables_number 1
loop_
_symmetry_equiv_pos_as_xyz
'x,y,z'
loop_
_atom_site_label
_atom_site_type_symbol
_atom_site_fract_x
_atom_site_fract_y
_atom_site_fract_z
Cd1 Cd 0.000 0.000 0.000
As1 As 0.500 0.500 0.500
I1 I 0.000 0.500 0.500
I2 I 0.500 0.000 0.500
I3 I 0.500 0.500 0.000
# SG: No. 221
# Polymorph energy (0 for the lowest one), eV per formula unit: 0.00
# Raw formation energy, eV per atom: 0.064